Record 1
# Ti5CoIr4

A geometry-optimized Ti5CoIr4 structure (GGA-PBE, the Alexandria database).

The crystal system is tetragonal. The value obtained for the electronic total energy is -8.950 eV/atom.

The structure belongs to space group P4/mmm (No. 123); the cell edges are 2.923, 2.923 and 17.260 Å and the angles 90.00°, 90.00° and 90.00°. The inequivalent atoms are Ti at (0.000, 0.000, 0.000), Ti at (0.000, 0.000, 0.206), Ti at (0.000, 0.000, 0.409), Co at (0.500, 0.500, 0.500), Ir at (0.500, 0.500, 0.102) and Ir at (0.500, 0.500, 0.309).



Record 2
# Fe5As4

A geometry-optimized Fe5As4 structure (GGA-PBE, the Alexandria database).

The crystal system is hexagonal. The value obtained for the electronic total energy is -6.605 eV/atom.

The structure belongs to space group P6_3/mcm (No. 193); the cell edges are 7.5352, 7.5352 and 5.0204 Å and the angles 90.00°, 90.00° and 120.00°. The inequivalent atoms are Fe at (0.0000, 0.2992, 0.2500), Fe at (0.3333, 0.6667, 0.0000), As at (0.0000, 0.0000, 0.0000) and As at (0.0000, 0.3827, 0.7500).



no.,Fermi-level density of states (states/eV/cell),formation energy (meV/atom),total moment (μB per cell)
1,10.351,-748,0.375
2,19.610,163,22.265